A geometry-optimized CuNiBiAu structure, computed with PBE.

DFT formation energy, eV per atom: 0.15
Total moment, μB per cell: 0.0
ρ, g/cm³: 12.84

abc: 4.588 4.588 4.588
angles: 60.00 60.00 60.00
Sites, in units of the cell vectors:
Cu 0.000 0.000 0.000
Ni 0.500 0.500 0.500
Bi 0.250 0.250 0.250
Au 0.750 0.750 0.750



A geometry-optimized RbIn2IF2 structure, computed with PBE.

ΔE_f (raw), eV/atom: -1.59
Total moment, μB per cell: 0.0
ρ, g/cm³: 4.00

abc: 6.525 6.837 9.570
angles: 102.57 92.52 105.67
Sites, in units of the cell vectors:
Rb 0.075 0.252 0.418
Rb 0.925 0.748 0.582
In 0.095 0.359 0.854
In 0.442 0.747 0.186
In 0.558 0.253 0.814
In 0.905 0.641 0.146
I 0.446 0.737 0.773
I 0.554 0.263 0.227
F 0.131 0.634 0.332
F 0.220 0.152 0.667
F 0.780 0.848 0.333
F 0.869 0.366 0.668



A geometry-optimized PuThInHg structure, computed with PBE.

Relative energy among the computed polymorphs, kJ/mol of formula units: 24.3
DFT formation energy, eV per atom: -0.13
Total moment, μB per cell: 6.8
ρ, g/cm³: 11.73

abc: 5.411 5.411 5.411
angles: 60.00 60.00 60.00
Sites, in units of the cell vectors:
Pu 0.000 0.000 0.000
Th 0.500 0.500 0.500
In 0.750 0.750 0.750
Hg 0.250 0.250 0.250



A geometry-optimized Li2ZrPbS4 structure, computed with PBE.

ΔE_f (raw), eV/atom: -1.17
Total moment, μB per cell: 0.0
ρ, g/cm³: 4.43

abc: 6.557 3.838 7.016
angles: 90.00 110.85 90.00
Sites, in units of the cell vectors:
Li 0.000 0.000 0.000
Li 0.000 0.500 0.500
Zr 0.500 0.000 0.500
Pb 0.500 0.500 0.000
S 0.247 0.000 0.707
S 0.254 0.500 0.271
S 0.746 0.500 0.729
S 0.753 0.000 0.293



A geometry-optimized Ce2NiP2 structure, computed with PBE.

DFT formation energy, eV per atom: -1.17
Total moment, μB per cell: 2.1
ρ, g/cm³: 6.85

abc: 5.585 5.585 10.049
angles: 109.20 109.20 41.45
Sites, in units of the cell vectors:
Ce 0.081 0.081 0.409
Ce 0.307 0.307 0.860
Ce 0.693 0.693 0.140
Ce 0.919 0.919 0.591
Ni 0.422 0.422 0.177
Ni 0.578 0.578 0.823
P 0.044 0.044 0.906
P 0.339 0.339 0.358
P 0.661 0.661 0.642
P 0.956 0.956 0.094



A geometry-optimized YTaCu2 structure, computed with PBE.

Relative energy among the computed polymorphs, kJ/mol of formula units: 34.3
DFT formation energy, eV per atom: 0.16
Total moment, μB per cell: 0.5
ρ, g/cm³: 9.36

abc: 4.726 4.726 3.152
angles: 90.00 90.00 90.13
Sites, in units of the cell vectors:
Y 0.000 0.000 0.000
Ta 0.500 0.500 0.000
Cu 0.000 0.500 0.500
Cu 0.500 0.000 0.500



A geometry-optimized CuSiB structure, computed with PBE.

ΔE_f (raw), eV/atom: 0.20
Total moment, μB per cell: 0.0
ρ, g/cm³: 4.64

abc: 3.514 3.938 5.343
angles: 88.07 82.99 88.23
Sites, in units of the cell vectors:
Cu 0.000 0.000 0.000
Cu 0.496 0.712 0.485
Si 0.119 0.215 0.555
Si 0.615 0.507 0.048
B 0.161 0.516 0.854
B 0.667 0.204 0.360



A geometry-optimized TbPm2Sm6Dy structure, computed with PBE.

DFT formation energy, eV per atom: 0.12
Total moment, μB per cell: 0.0
ρ, g/cm³: 7.43

abc: 8.911 8.911 9.777
angles: 94.34 94.34 118.18
Sites, in units of the cell vectors:
Tb 0.021 0.979 0.750
Tb 0.979 0.021 0.250
Pm 0.195 0.298 0.542
Pm 0.298 0.195 0.042
Pm 0.702 0.805 0.958
Pm 0.805 0.702 0.458
Sm 0.018 0.573 0.688
Sm 0.123 0.751 0.056
Sm 0.249 0.877 0.444
Sm 0.292 0.502 0.880
Sm 0.427 0.982 0.812
Sm 0.498 0.708 0.620
Sm 0.502 0.292 0.380
Sm 0.573 0.018 0.188
Sm 0.708 0.498 0.120
Sm 0.751 0.123 0.556
Sm 0.877 0.249 0.944
Sm 0.982 0.427 0.312
Dy 0.408 0.592 0.250
Dy 0.592 0.408 0.750



A geometry-optimized LaSb2IrI structure, computed with PBE.

ΔE_f (raw), eV/atom: 1.27
Relative energy among the computed polymorphs, kJ/mol of formula units: 664.7
Total moment, μB per cell: 2.5
ρ, g/cm³: 5.16

abc: 6.129 6.129 6.007
angles: 90.00 90.00 90.00
Sites, in units of the cell vectors:
La 0.000 0.000 0.000
Sb 0.000 0.500 0.000
Sb 0.500 0.000 0.000
Ir 0.500 0.500 0.500
I 0.000 0.000 0.500



A geometry-optimized KLa2 structure, computed with PBE.

DFT formation energy, eV per atom: 0.22
Total moment, μB per cell: 0.0
ρ, g/cm³: 3.97

abc: 9.878 9.878 9.878
angles: 158.23 158.23 30.97
Sites, in units of the cell vectors:
K 0.000 0.000 0.000
La 0.316 0.316 0.000
La 0.684 0.684 0.000



A geometry-optimized K2NaAu2F6 structure, computed with PBE.

ΔE_f (raw), eV/atom: -1.76
Total moment, μB per cell: 1.0
ρ, g/cm³: 4.92

abc: 6.694 6.694 6.713
angles: 117.64 117.64 53.10
Sites, in units of the cell vectors:
K 0.220 0.220 0.157
K 0.780 0.780 0.843
Na 0.000 0.000 0.500
Au 0.425 0.425 0.734
Au 0.575 0.575 0.266
F 0.185 0.656 0.199
F 0.225 0.225 0.592
F 0.344 0.815 0.801
F 0.656 0.185 0.199
F 0.775 0.775 0.408
F 0.815 0.344 0.801



A geometry-optimized BaCr2Mo structure, computed with PBE.

Relative energy among the computed polymorphs, kJ/mol of formula units: 164.6
DFT formation energy, eV per atom: 1.20
Total moment, μB per cell: 11.4
ρ, g/cm³: 4.70

abc: 8.709 8.709 8.709
angles: 142.93 142.93 53.43
Sites, in units of the cell vectors:
Ba 0.375 0.625 0.750
Ba 0.625 0.375 0.250
Cr 0.000 0.000 0.000
Cr 0.000 0.000 0.500
Cr 0.000 0.500 0.000
Cr 0.500 0.000 0.500
Mo 0.125 0.875 0.250
Mo 0.875 0.125 0.750